! Mn2InCl6 | Alexandria via LeMat-Bulk | PBE | relaxed; values from VASP
! Raw formation energy ... -0.98 eV per atom
! Magnetization ... 8.99 μB per formula unit
! Space-group type ... No. 12
&SYSTEM
  ibrav = 0, nat = 9, ntyp = 3
/
ATOMIC_SPECIES
Mn 54.94 Mn.upf
In 114.82 In.upf
Cl 35.45 Cl.upf
CELL_PARAMETERS angstrom
6.500 -2.008 0.000
6.500 2.008 0.000
-1.002 0.000 10.510
ATOMIC_POSITIONS crystal
Mn 0.214 0.214 0.222
Mn 0.786 0.786 0.778
In 0.500 0.500 0.500
Cl 0.133 0.133 0.414
Cl 0.339 0.339 0.887
Cl 0.391 0.391 0.268
Cl 0.609 0.609 0.732
Cl 0.661 0.661 0.113
Cl 0.867 0.867 0.586

=====

! KCa2Ir | Alexandria via LeMat-Bulk | PBE | relaxed; values from VASP
! Relative energy among the computed polymorphs ... 227 meV/atom
! Magnetization ... 0.00 μB per formula unit
! Space-group type ... No. 225
&SYSTEM
  ibrav = 0, nat = 4, ntyp = 3
/
ATOMIC_SPECIES
K 39.10 K.upf
Ca 40.08 Ca.upf
Ir 192.22 Ir.upf
CELL_PARAMETERS angstrom
0.000 3.744 3.744
3.744 0.000 3.744
3.744 3.744 0.000
ATOMIC_POSITIONS crystal
K 0.000 0.000 0.000
Ca 0.250 0.250 0.250
Ca 0.750 0.750 0.750
Ir 0.500 0.500 0.500

=====

! Mg2ScCu3 | Alexandria via LeMat-Bulk | PBE | relaxed; values from VASP
! Relative energy among the computed polymorphs ... 0 meV/atom
! Magnetization ... 0.00 μB per formula unit
! Space-group type ... No. 65
&SYSTEM
  ibrav = 0, nat = 12, ntyp = 3
/
ATOMIC_SPECIES
Mg 24.30 Mg.upf
Sc 44.96 Sc.upf
Cu 63.55 Cu.upf
CELL_PARAMETERS angstrom
2.265 -6.784 0.000
2.265 6.784 0.000
0.000 0.000 6.370
ATOMIC_POSITIONS crystal
Mg 0.000 0.000 0.000
Mg 0.000 0.000 0.500
Mg 0.331 0.669 0.000
Mg 0.669 0.331 0.000
Sc 0.337 0.663 0.500
Sc 0.663 0.337 0.500
Cu 0.168 0.832 0.255
Cu 0.168 0.832 0.745
Cu 0.500 0.500 0.238
Cu 0.500 0.500 0.762
Cu 0.832 0.168 0.255
Cu 0.832 0.168 0.745

=====

! LiCrCl2 | Alexandria via LeMat-Bulk | PBE | relaxed; values from VASP
! Raw formation energy ... -0.19 eV per atom
! Relative energy among the computed polymorphs ... 845 meV/atom
! Magnetization ... 5.00 μB per formula unit
! Space-group type ... No. 216
&SYSTEM
  ibrav = 0, nat = 4, ntyp = 3
/
ATOMIC_SPECIES
Li 6.94 Li.upf
Cr 52.00 Cr.upf
Cl 35.45 Cl.upf
CELL_PARAMETERS angstrom
0.000 3.402 3.402
3.402 0.000 3.402
3.402 3.402 0.000
ATOMIC_POSITIONS crystal
Li 0.000 0.000 0.000
Cr 0.750 0.750 0.750
Cl 0.250 0.250 0.250
Cl 0.500 0.500 0.500